Record 1
# BaHoAlSe3 (GGA-PBE, optimized geometry)
# - total energy (eV per cell) = -56.968
# - space group = Cmcm
data_BaHoAlSe3
_space_group_name_H-M_alt 'P 1'
_space_group_IT_number 1
_space_group_name_Hall 'P 1'
_cell_length_a 7.215
_cell_length_b 7.215
_cell_length_c 10.779
_cell_angle_alpha 90.00
_cell_angle_beta 90.00
_cell_angle_gamma 143.38
loop_
_atom_site_label
_atom_site_type_symbol
_atom_site_fract_x
_atom_site_fract_y
_atom_site_fract_z
Se1 Se 0.064 0.936 0.750
Se2 Se 0.936 0.064 0.250
Se3 Se 0.367 0.633 0.929
Se4 Se 0.633 0.367 0.071
Se5 Se 0.633 0.367 0.429
Se6 Se 0.367 0.633 0.571
Ho1 Ho 0.000 0.000 0.000
Ho2 Ho 0.000 0.000 0.500
Al1 Al 0.517 0.483 0.250
Al2 Al 0.483 0.517 0.750
Ba1 Ba 0.743 0.257 0.750
Ba2 Ba 0.257 0.743 0.250



Record 2
# SrBeCoAs2 (GGA-PBE, optimized geometry)
# - total energy (eV per cell) = -24.481
# - space group = I-4m2
data_SrBeCoAs2
_space_group_name_H-M_alt 'P 1'
_space_group_IT_number 1
_space_group_name_Hall 'P 1'
_cell_length_a 6.504
_cell_length_b 6.504
_cell_length_c 6.504
_cell_angle_alpha 144.97
_cell_angle_beta 144.97
_cell_angle_gamma 50.38
loop_
_atom_site_label
_atom_site_type_symbol
_atom_site_fract_x
_atom_site_fract_y
_atom_site_fract_z
Co1 Co 0.500 0.500 0.000
Be1 Be 0.000 0.000 0.000
Sr1 Sr 0.250 0.750 0.500
As1 As 0.607 0.107 0.500
As2 As 0.893 0.393 0.500



Record 3
# UIn (GGA-PBE, optimized geometry)
# - total energy (eV per cell) = -13.832
# - space group = P-6m2
data_UIn
_space_group_name_H-M_alt 'P 1'
_space_group_IT_number 1
_space_group_name_Hall 'P 1'
_cell_length_a 3.052
_cell_length_b 3.052
_cell_length_c 5.682
_cell_angle_alpha 90.00
_cell_angle_beta 90.00
_cell_angle_gamma 119.99
loop_
_atom_site_label
_atom_site_type_symbol
_atom_site_fract_x
_atom_site_fract_y
_atom_site_fract_z
In1 In 0.667 0.333 0.750
U1 U 0.333 0.667 0.250



Record 4
# BaTaPb (GGA-PBE, optimized geometry)
# - total energy (eV per cell) = -14.422
# - space group = F-43m
data_BaTaPb
_space_group_name_H-M_alt 'P 1'
_space_group_IT_number 1
_space_group_name_Hall 'P 1'
_cell_length_a 5.237
_cell_length_b 5.237
_cell_length_c 5.237
_cell_angle_alpha 60.00
_cell_angle_beta 60.00
_cell_angle_gamma 60.00
loop_
_atom_site_label
_atom_site_type_symbol
_atom_site_fract_x
_atom_site_fract_y
_atom_site_fract_z
Pb1 Pb 0.750 0.750 0.750
Ba1 Ba 0.250 0.250 0.250
Ta1 Ta 0.000 0.000 0.000